# Zr3MnSn PBE optimized geometry
data_Zr3MnSn
_cell_length_a 4.9934
_cell_length_b 4.9934
_cell_length_c 4.9934
_cell_angle_alpha 90.00
_cell_angle_beta 90.00
_cell_angle_gamma 90.00
_space_group_name_H-M_alt 'P 1'
_space_group_IT_number 1
loop_
_space_group_symop_operation_xyz
'x,y,z'
loop_
_atom_site_label
_atom_site_type_symbol
_atom_site_fract_x
_atom_site_fract_y
_atom_site_fract_z
Zr1 Zr 0.0000 0.0000 0.5000
Zr2 Zr 0.0000 0.5000 0.0000
Zr3 Zr 0.5000 0.0000 0.0000
Mn1 Mn 0.0000 0.0000 0.0000
Sn1 Sn 0.5000 0.5000 0.5000
# energy relative to the elements	0.1523	eV per atom
# total magnetization	0.30	μB per formula unit
# density of states at the Fermi level	2.12	states/eV per atom


# ZrMnSn2 PBE optimized geometry
data_ZrMnSn2
_cell_length_a 5.6048
_cell_length_b 5.6048
_cell_length_c 5.6048
_cell_angle_alpha 46.52
_cell_angle_beta 46.52
_cell_angle_gamma 46.52
_space_group_name_H-M_alt 'P 1'
_space_group_IT_number 1
loop_
_space_group_symop_operation_xyz
'x,y,z'
loop_
_atom_site_label
_atom_site_type_symbol
_atom_site_fract_x
_atom_site_fract_y
_atom_site_fract_z
Zr1 Zr 0.0000 0.0000 0.0000
Mn1 Mn 0.5000 0.5000 0.5000
Sn1 Sn 0.2341 0.2341 0.2341
Sn2 Sn 0.7659 0.7659 0.7659
# energy relative to the elements	-0.0591	eV per atom
# total magnetization	2.80	μB per formula unit
# density of states at the Fermi level	0.47	states/eV per atom


# SrMn3 PBE optimized geometry
data_SrMn3
_cell_length_a 3.3759
_cell_length_b 4.2962
_cell_length_c 6.0227
_cell_angle_alpha 90.00
_cell_angle_beta 90.00
_cell_angle_gamma 90.00
_space_group_name_H-M_alt 'P 1'
_space_group_IT_number 1
loop_
_space_group_symop_operation_xyz
'x,y,z'
loop_
_atom_site_label
_atom_site_type_symbol
_atom_site_fract_x
_atom_site_fract_y
_atom_site_fract_z
Sr1 Sr 0.0000 0.0000 0.0000
Mn1 Mn 0.0000 0.5000 0.5271
Mn2 Mn 0.5000 0.0000 0.5167
Mn3 Mn 0.5000 0.5000 0.2806
# energy relative to the elements	0.6616	eV per atom
# total magnetization	4.01	μB per formula unit
# density of states at the Fermi level	1.24	states/eV per atom


# SrMn4 PBE optimized geometry
data_SrMn4
_cell_length_a 4.9637
_cell_length_b 4.9637
_cell_length_c 4.9637
_cell_angle_alpha 90.00
_cell_angle_beta 90.00
_cell_angle_gamma 90.00
_space_group_name_H-M_alt 'P 1'
_space_group_IT_number 1
loop_
_space_group_symop_operation_xyz
'x,y,z'
loop_
_atom_site_label
_atom_site_type_symbol
_atom_site_fract_x
_atom_site_fract_y
_atom_site_fract_z
Sr1 Sr 0.0000 0.0000 0.0000
Mn1 Mn 0.0000 0.0000 0.5000
Mn2 Mn 0.0000 0.5000 0.0000
Mn3 Mn 0.5000 0.0000 0.0000
Mn4 Mn 0.5000 0.5000 0.5000
# energy relative to the elements	2.1713	eV per atom
# total magnetization	15.52	μB per formula unit
# density of states at the Fermi level	1.12	states/eV per atom